The following is a DFT calculation (PBE-GGA) of crystalline Tm2Pd5 at its relaxed geometry.

Formation energy from the elements   -83.5 kJ per mole of atoms
Calculated volume   18.24 A^3/atom

Cell and atoms, written as extended XYZ:
```
14
Lattice="3.438 -6.337 0.000 3.438 6.337 0.000 0.000 0.000 5.861" Properties=species:S:1:pos:R:3 pbc="T T T"
Tm 1.340 1.310 0.000
Tm 1.340 -1.310 2.930
Tm 5.537 1.310 2.930
Tm 5.537 -1.310 0.000
Pd 1.554 1.553 2.930
Pd 3.438 2.954 1.465
Pd 3.438 2.954 4.396
Pd 1.554 -1.553 0.000
Pd 3.438 0.000 1.465
Pd 3.438 0.000 4.396
Pd 5.323 1.553 0.000
Pd 3.438 -2.954 1.465
Pd 3.438 -2.954 4.396
Pd 5.323 -1.553 2.930
```

The following is a DFT calculation (PBE-GGA) of crystalline Tm3Pd7 at its relaxed geometry.

Formation energy from the elements   -90.4 kJ per mole of atoms
Calculated volume   17.85 A^3/atom

Cell and atoms, written as extended XYZ:
```
10
Lattice="7.600 -2.095 0.000 7.600 2.095 0.000 -1.446 0.000 5.605" Properties=species:S:1:pos:R:3 pbc="T T T"
Tm 0.000 0.000 0.000
Tm 1.946 0.000 3.541
Tm 11.808 0.000 2.064
Pd -0.723 0.000 2.803
Pd 2.864 0.000 0.702
Pd 5.068 0.000 3.824
Pd 5.844 0.000 1.037
Pd 7.910 0.000 4.568
Pd 8.685 0.000 1.781
Pd 10.890 0.000 4.903
```

The following is a DFT calculation (PBE-GGA) of crystalline Tm3Pd at its relaxed geometry.

Formation energy from the elements   -22.4 kJ per mole of atoms
Calculated volume   27.99 A^3/atom

Cell and atoms, written as extended XYZ:
```
4
Lattice="3.460 0.000 0.000 0.000 3.577 0.000 0.000 0.000 9.046" Properties=species:S:1:pos:R:3 pbc="T T T"
Tm 0.000 0.000 0.000
Tm 0.000 1.788 3.028
Tm 1.730 1.788 6.582
Pd 1.730 0.000 4.371
```